PBE-GGA LiTe2RuI, optimized geometry; formation energy from raw total energies = 0.57 eV per formula unit; crystal system = tetragonal; total DFT energy (no corrections) = -3.691 eV/atom; symmetry = No. 123
1.0
5.144 0.000 0.000
0.000 5.144 0.000
0.000 0.000 5.992
Li Te Ru I
1 2 1 1
direct
0.000 0.000 0.000
0.000 0.500 0.500
0.500 0.000 0.500
0.500 0.500 0.500
0.500 0.500 0.000

---

PBE-GGA LiYRuI2, optimized geometry; formation energy from raw total energies = 0.75 eV per formula unit; crystal system = tetragonal; total DFT energy (no corrections) = -4.001 eV/atom; symmetry = No. 123
1.0
6.082 0.000 0.000
0.000 6.082 0.000
0.000 0.000 5.125
Li Y Ru I
1 1 1 2
direct
0.000 0.000 0.000
0.500 0.500 0.500
0.500 0.500 0.000
0.000 0.500 0.500
0.500 0.000 0.500

---

PBE-GGA LiS2I, optimized geometry; formation energy from raw total energies = 0.38 eV per formula unit; crystal system = tetragonal; total DFT energy (no corrections) = -2.834 eV/atom; symmetry = No. 122
1.0
-2.689 2.689 7.415
2.689 -2.689 7.415
2.689 2.689 -7.415
Li S I
2 4 2
direct
0.000 0.000 0.000
0.750 0.250 0.500
0.117 0.625 0.992
0.375 0.367 0.492
0.633 0.125 0.008
0.875 0.883 0.508
0.250 0.750 0.500
0.500 0.500 0.000

---

PBE-GGA Li2SI, optimized geometry; formation energy from raw total energies = -2.52 eV per formula unit; crystal system = trigonal; total DFT energy (no corrections) = -3.006 eV/atom; symmetry = No. 166
1.0
2.075 1.198 7.812
-2.075 1.198 7.812
0.000 -2.395 7.812
Li S I
2 1 1
direct
0.097 0.097 0.097
0.903 0.903 0.903
0.000 0.000 0.000
0.500 0.500 0.500

---

PBE-GGA Li2SI, optimized geometry; formation energy from raw total energies = -2.45 eV per formula unit; crystal system = cubic; total DFT energy (no corrections) = -2.989 eV/atom; symmetry = No. 225
1.0
0.000 3.469 3.469
3.469 0.000 3.469
3.469 3.469 0.000
Li S I
2 1 1
direct
0.250 0.250 0.250
0.750 0.750 0.750
0.000 0.000 0.000
0.500 0.500 0.500

---

PBE-GGA Li3SI, optimized geometry; formation energy from raw total energies = -5.94 eV per formula unit; crystal system = monoclinic; total DFT energy (no corrections) = -3.471 eV/atom; symmetry = No. 12
1.0
6.447 -3.019 0.000
6.447 3.019 0.000
-2.293 0.000 6.172
Li S I
6 2 2
direct
0.017 0.517 0.214
0.050 0.050 0.212
0.483 0.983 0.786
0.517 0.017 0.214
0.950 0.950 0.788
0.983 0.483 0.786
0.145 0.145 0.955
0.855 0.855 0.045
0.371 0.371 0.606
0.629 0.629 0.394

---

PBE-GGA Li2SI, optimized geometry; formation energy from raw total energies = -2.93 eV per formula unit; crystal system = tetragonal; total DFT energy (no corrections) = -3.109 eV/atom; symmetry = No. 122
1.0
-3.255 3.255 4.931
3.255 -3.255 4.931
3.255 3.255 -4.931
Li S I
4 2 2
direct
0.078 0.625 0.953
0.375 0.328 0.453
0.672 0.125 0.047
0.875 0.922 0.547
0.000 0.000 0.000
0.750 0.250 0.500
0.250 0.750 0.500
0.500 0.500 0.000

---

PBE-GGA LiS6I2, optimized geometry; formation energy from raw total energies = -1.12 eV per formula unit; crystal system = triclinic; total DFT energy (no corrections) = -3.433 eV/atom; symmetry = No. 2
1.0
5.637 0.000 0.000
-1.608 6.460 0.000
-0.168 -3.132 9.503
Li S I
1 6 2
direct
0.000 0.000 0.000
0.251 0.990 0.212
0.321 0.482 0.450
0.348 0.324 0.247
0.652 0.676 0.753
0.679 0.518 0.550
0.749 0.010 0.788
0.273 0.075 0.786
0.727 0.925 0.214

---

PBE-GGA LiSI, optimized geometry; formation energy from raw total energies = -1.91 eV per formula unit; crystal system = triclinic; total DFT energy (no corrections) = -3.166 eV/atom; symmetry = No. 1
1.0
4.348 0.000 0.000
1.927 3.931 0.000
1.067 0.814 11.411
Li S I
2 2 2
direct
0.000 0.000 0.000
0.385 0.408 0.670
0.156 0.140 0.286
0.919 0.910 0.226
0.054 0.076 0.592
0.356 0.364 0.921

---

PBE-GGA LiS2I, optimized geometry; formation energy from raw total energies = 1.56 eV per formula unit; crystal system = cubic; total DFT energy (no corrections) = -2.539 eV/atom; symmetry = No. 225
1.0
0.000 3.466 3.466
3.466 0.000 3.466
3.466 3.466 0.000
Li S I
1 2 1
direct
0.000 0.000 0.000
0.250 0.250 0.250
0.750 0.750 0.750
0.500 0.500 0.500

---

PBE-GGA Li3SI, optimized geometry; formation energy from raw total energies = -2.74 eV per formula unit; crystal system = cubic; total DFT energy (no corrections) = -2.833 eV/atom; symmetry = No. 221
1.0
5.010 0.000 0.000
0.000 5.010 0.000
0.000 0.000 5.010
Li S I
3 1 1
direct
0.000 0.000 0.500
0.000 0.500 0.000
0.500 0.000 0.000
0.500 0.500 0.500
0.000 0.000 0.000

---

PBE-GGA Li3SI, optimized geometry; formation energy from raw total energies = -6.13 eV per formula unit; crystal system = cubic; total DFT energy (no corrections) = -3.510 eV/atom; symmetry = No. 221
1.0
4.730 0.000 0.000
0.000 4.730 0.000
0.000 0.000 4.730
Li S I
3 1 1
direct
0.000 0.000 0.500
0.000 0.500 0.000
0.500 0.000 0.000
0.000 0.000 0.000
0.500 0.500 0.500

---

Copy entry 8 word for word.
PBE-GGA LiS6I2, optimized geometry; formation energy from raw total energies = -1.12 eV per formula unit; crystal system = triclinic; total DFT energy (no corrections) = -3.433 eV/atom; symmetry = No. 2
1.0
5.637 0.000 0.000
-1.608 6.460 0.000
-0.168 -3.132 9.503
Li S I
1 6 2
direct
0.000 0.000 0.000
0.251 0.990 0.212
0.321 0.482 0.450
0.348 0.324 0.247
0.652 0.676 0.753
0.679 0.518 0.550
0.749 0.010 0.788
0.273 0.075 0.786
0.727 0.925 0.214

---

Question: Look up the total DFT energy (no corrections) of the twelfth one.
Answer: -3.510 eV/atom

---

Question: What is the total DFT energy (no corrections) in the first record?
Answer: -3.691 eV/atom